1.
# Ni2CS PBE-GGA optimized geometry
# - formation energy from raw total energies (meV per atom) = 157
# - density of states at the Fermi level (states/eV/f.u.) = 2.4
# - E above lowest polymorph (eV per formula unit) = 0.160
# - crystal system = monoclinic
data_Ni2CS
_chemical_formula_sum 'Ni8 C4 S4'
_cell_length_a 5.949
_cell_length_b 9.719
_cell_length_c 3.504
_cell_angle_alpha 90.00
_cell_angle_beta 97.59
_cell_angle_gamma 90.00
_space_group_name_H-M_alt 'C 1 m 1'
_space_group_IT_number 8
loop_
_space_group_symop_operation_xyz
'x,y,z'
'x,-y,z'
'x+1/2,y+1/2,z'
'x+1/2,-y+1/2,z'
loop_
_atom_site_label
_atom_site_fract_x
_atom_site_fract_y
_atom_site_fract_z
_atom_site_occupancy
Ni1 0.000 0.000 0.000 1
Ni2 0.163 0.500 0.425 1
Ni3 0.358 0.129 0.918 1
C1 0.157 0.000 0.567 1
C2 0.324 0.000 0.338 1
S1 0.228 0.338 0.929 1

***

2.
# NiBiPt PBE-GGA optimized geometry
# - density of states at the Fermi level (states/eV/f.u.) = 3.0
# - E_form (eV per formula unit) = -0.3
# - E above lowest polymorph (eV per formula unit) = 0.000
# - crystal system = monoclinic
data_NiBiPt
_chemical_formula_sum 'Ni4 Bi4 Pt4'
_cell_length_a 7.143
_cell_length_b 4.109
_cell_length_c 8.397
_cell_angle_alpha 90.00
_cell_angle_beta 90.10
_cell_angle_gamma 90.00
_space_group_name_H-M_alt 'C 1 2/m 1'
_space_group_IT_number 12
loop_
_space_group_symop_operation_xyz
'x,y,z'
'-x,-y,-z'
'-x,y,-z'
'x,-y,z'
'x+1/2,y+1/2,z'
'-x+1/2,-y+1/2,-z'
'-x+1/2,y+1/2,-z'
'x+1/2,-y+1/2,z'
loop_
_atom_site_label
_atom_site_fract_x
_atom_site_fract_y
_atom_site_fract_z
_atom_site_occupancy
Ni1 0.166 0.000 0.480 1
Bi1 0.169 0.000 0.824 1
Pt1 0.001 0.500 0.659 1

***

3.
# HoPuTlAu PBE-GGA optimized geometry
# - density of states at the Fermi level (states/eV/f.u.) = 10.1
# - E_form (eV per formula unit) = -1.3
# - crystal system = cubic
data_HoPuTlAu
_chemical_formula_sum 'Ho4 Pu4 Tl4 Au4'
_cell_length_a 7.439
_cell_length_b 7.439
_cell_length_c 7.439
_cell_angle_alpha 90.00
_cell_angle_beta 90.00
_cell_angle_gamma 90.00
_space_group_name_H-M_alt 'F -4 3 m'
_space_group_IT_number 216
_space_group_name_Hall 'F -4 2 3'
loop_
_atom_site_label
_atom_site_fract_x
_atom_site_fract_y
_atom_site_fract_z
_atom_site_occupancy
Ho1 0.000 0.000 0.000 1
Pu1 0.000 0.000 0.500 1
Tl1 0.250 0.250 0.750 1
Au1 0.250 0.250 0.250 1

***

4.
# BeRuS2 PBE-GGA optimized geometry
# - formation energy from raw total energies (meV per atom) = -390
# - density of states at the Fermi level (states/eV/f.u.) = 0.4
# - crystal system = tetragonal
data_BeRuS2
_chemical_formula_sum 'Be4 Ru4 S8'
_cell_length_a 5.188
_cell_length_b 5.188
_cell_length_c 9.494
_cell_angle_alpha 90.00
_cell_angle_beta 90.00
_cell_angle_gamma 90.00
_space_group_name_H-M_alt 'I -4 2 d'
_space_group_IT_number 122
_space_group_name_Hall 'I -4 2bw'
loop_
_atom_site_label
_atom_site_fract_x
_atom_site_fract_y
_atom_site_fract_z
_atom_site_occupancy
Be1 0.000 0.000 0.000 1
Ru1 0.000 0.000 0.500 1
S1 0.218 0.250 0.125 1

***

5.
# CrPdN PBE-GGA optimized geometry
# - formation energy from raw total energies (meV per atom) = -86
# - density of states at the Fermi level (states/eV/f.u.) = 2.5
# - crystal system = tetragonal
data_CrPdN
_chemical_formula_sum 'Cr4 Pd4 N4'
_cell_length_a 2.830
_cell_length_b 2.830
_cell_length_c 17.878
_cell_angle_alpha 90.00
_cell_angle_beta 90.00
_cell_angle_gamma 90.00
_space_group_name_H-M_alt 'I 4/m m m'
_space_group_IT_number 139
_space_group_name_Hall '-I 4 2'
loop_
_atom_site_label
_atom_site_fract_x
_atom_site_fract_y
_atom_site_fract_z
_atom_site_occupancy
Cr1 0.000 0.000 0.187 1
Pd1 0.000 0.000 0.428 1
N1 0.000 0.000 0.304 1

***

6.
# LaPm4Sb3 PBE-GGA optimized geometry
# - formation energy from raw total energies (meV per atom) = -859
# - density of states at the Fermi level (states/eV/f.u.) = 8.9
# - crystal system = monoclinic
data_LaPm4Sb3
_chemical_formula_sum 'La2 Pm8 Sb6'
_cell_length_a 13.981
_cell_length_b 4.387
_cell_length_c 9.199
_cell_angle_alpha 90.00
_cell_angle_beta 112.64
_cell_angle_gamma 90.00
_space_group_name_H-M_alt 'C 1 2/m 1'
_space_group_IT_number 12
loop_
_space_group_symop_operation_xyz
'x,y,z'
'-x,-y,-z'
'-x,y,-z'
'x,-y,z'
'x+1/2,y+1/2,z'
'-x+1/2,-y+1/2,-z'
'-x+1/2,y+1/2,-z'
'x+1/2,-y+1/2,z'
loop_
_atom_site_label
_atom_site_fract_x
_atom_site_fract_y
_atom_site_fract_z
_atom_site_occupancy
La1 0.000 0.000 0.000 1
Pm1 0.131 0.000 0.429 1
Pm2 0.162 0.500 0.835 1
Sb1 0.000 0.500 0.500 1
Sb2 0.186 0.500 0.207 1

***

7.
# NpU2Co9 PBE-GGA optimized geometry
# - density of states at the Fermi level (states/eV/f.u.) = 20.1
# - E_form (eV per formula unit) = -1.6
# - crystal system = trigonal
data_NpU2Co9
_chemical_formula_sum 'Np3 U6 Co27'
_cell_length_a 4.8242
_cell_length_b 4.8242
_cell_length_c 24.2186
_cell_angle_alpha 90.00
_cell_angle_beta 90.00
_cell_angle_gamma 120.00
_space_group_name_H-M_alt 'R -3 m'
_space_group_IT_number 166
_space_group_name_Hall '-R 3 2"'
loop_
_atom_site_label
_atom_site_fract_x
_atom_site_fract_y
_atom_site_fract_z
_atom_site_occupancy
Np1 0.0000 0.0000 0.0000 1
U1 0.0000 0.0000 0.1391 1
Co1 0.0000 0.0000 0.3336 1
Co2 0.0000 0.0000 0.5000 1
Co3 0.0005 0.5003 0.0828 1

***

8.
# RbInB2Pd PBE-GGA optimized geometry
# - density of states at the Fermi level (states/eV/f.u.) = 1.8
# - E_form (eV per formula unit) = 5.8
# - crystal system = tetragonal
data_RbInB2Pd
_chemical_formula_sum 'Rb1 In1 B2 Pd1'
_cell_length_a 4.356
_cell_length_b 4.356
_cell_length_c 6.101
_cell_angle_alpha 90.00
_cell_angle_beta 90.00
_cell_angle_gamma 90.00
_space_group_name_H-M_alt 'P 4/m m m'
_space_group_IT_number 123
_space_group_name_Hall '-P 4 2'
loop_
_atom_site_label
_atom_site_fract_x
_atom_site_fract_y
_atom_site_fract_z
_atom_site_occupancy
Rb1 0.000 0.000 0.000 1
In1 0.500 0.500 0.000 1
B1 0.000 0.500 0.500 1
Pd1 0.000 0.000 0.500 1

***

9.
# V2Rh2Pb PBE-GGA optimized geometry
# - density of states at the Fermi level (states/eV/f.u.) = 4.4
# - E_form (eV per formula unit) = 0.0
# - crystal system = tetragonal
data_V2Rh2Pb
_chemical_formula_sum 'V4 Rh4 Pb2'
_cell_length_a 4.109
_cell_length_b 4.109
_cell_length_c 10.559
_cell_angle_alpha 90.00
_cell_angle_beta 90.00
_cell_angle_gamma 90.00
_space_group_name_H-M_alt 'I 4/m m m'
_space_group_IT_number 139
_space_group_name_Hall '-I 4 2'
loop_
_atom_site_label
_atom_site_fract_x
_atom_site_fract_y
_atom_site_fract_z
_atom_site_occupancy
V1 0.000 0.500 0.250 1
Rh1 0.000 0.000 0.124 1
Pb1 0.000 0.000 0.500 1

***

10.
# PrNdDyTm PBE-GGA optimized geometry
# - density of states at the Fermi level (states/eV/f.u.) = 7.1
# - E_form (eV per formula unit) = 0.4
# - E above lowest polymorph (eV per formula unit) = 0.326
# - crystal system = cubic
data_PrNdDyTm
_chemical_formula_sum 'Pr4 Nd4 Dy4 Tm4'
_cell_length_a 8.118
_cell_length_b 8.118
_cell_length_c 8.118
_cell_angle_alpha 90.00
_cell_angle_beta 90.00
_cell_angle_gamma 90.00
_space_group_name_H-M_alt 'F -4 3 m'
_space_group_IT_number 216
_space_group_name_Hall 'F -4 2 3'
loop_
_atom_site_label
_atom_site_fract_x
_atom_site_fract_y
_atom_site_fract_z
_atom_site_occupancy
Pr1 0.000 0.000 0.000 1
Nd1 0.000 0.000 0.500 1
Dy1 0.250 0.250 0.750 1
Tm1 0.250 0.250 0.250 1

***

11.
# N PBE-GGA optimized geometry
# - formation energy from raw total energies (meV per atom) = 2185
# - density of states at the Fermi level (states/eV/f.u.) = 0.5
# - E above lowest polymorph (eV per formula unit) = 2.185
# - crystal system = orthorhombic
data_N
_chemical_formula_sum 'N16'
_cell_length_a 8.780
_cell_length_b 4.756
_cell_length_c 8.637
_cell_angle_alpha 90.00
_cell_angle_beta 90.00
_cell_angle_gamma 90.00
_space_group_name_H-M_alt 'P m n a'
_space_group_IT_number 53
loop_
_space_group_symop_operation_xyz
'x,y,z'
'-x,-y,-z'
'-x+1/2,-y,z+1/2'
'x+1/2,y,-z+1/2'
'x,-y,-z'
'-x,y,z'
'-x+1/2,y,-z+1/2'
'x+1/2,-y,z+1/2'
loop_
_atom_site_label
_atom_site_fract_x
_atom_site_fract_y
_atom_site_fract_z
_atom_site_occupancy
N1 0.000 0.000 0.000 1
N2 0.000 0.000 0.500 1
N3 0.000 0.018 0.137 1
N4 0.135 0.000 0.500 1
N5 0.250 0.471 0.750 1

***

12.
# Co2TcCl PBE-GGA optimized geometry
# - formation energy from raw total energies (meV per atom) = 651
# - density of states at the Fermi level (states/eV/f.u.) = 5.6
# - E above lowest polymorph (eV per formula unit) = 1.423
# - crystal system = orthorhombic
data_Co2TcCl
_chemical_formula_sum 'Co4 Tc2 Cl2'
_cell_length_a 2.751
_cell_length_b 4.316
_cell_length_c 8.575
_cell_angle_alpha 90.00
_cell_angle_beta 90.00
_cell_angle_gamma 90.00
_space_group_name_H-M_alt 'I m m m'
_space_group_IT_number 71
_space_group_name_Hall '-I 2 2'
loop_
_atom_site_label
_atom_site_fract_x
_atom_site_fract_y
_atom_site_fract_z
_atom_site_occupancy
Co1 0.000 0.000 0.233 1
Tc1 0.000 0.500 0.000 1
Cl1 0.000 0.500 0.500 1

***

13.
# TaCrBr3 PBE-GGA optimized geometry
# - formation energy from raw total energies (meV per atom) = 732
# - density of states at the Fermi level (states/eV/f.u.) = 5.8
# - E above lowest polymorph (eV per formula unit) = 1.670
# - crystal system = cubic
data_TaCrBr3
_chemical_formula_sum 'Ta1 Cr1 Br3'
_cell_length_a 5.126
_cell_length_b 5.126
_cell_length_c 5.126
_cell_angle_alpha 90.00
_cell_angle_beta 90.00
_cell_angle_gamma 90.00
_space_group_name_H-M_alt 'P m -3 m'
_space_group_IT_number 221
_space_group_name_Hall '-P 4 2 3'
loop_
_atom_site_label
_atom_site_fract_x
_atom_site_fract_y
_atom_site_fract_z
_atom_site_occupancy
Ta1 0.000 0.000 0.000 1
Cr1 0.500 0.500 0.500 1
Br1 0.000 0.500 0.500 1

***

14.
# RuRhSF2 PBE-GGA optimized geometry
# - formation energy from raw total energies (meV per atom) = 295
# - density of states at the Fermi level (states/eV/f.u.) = 5.1
# - crystal system = tetragonal
data_RuRhSF2
_chemical_formula_sum 'Ru1 Rh1 S1 F2'
_cell_length_a 4.000
_cell_length_b 4.000
_cell_length_c 4.587
_cell_angle_alpha 90.00
_cell_angle_beta 90.00
_cell_angle_gamma 90.00
_space_group_name_H-M_alt 'P 4/m m m'
_space_group_IT_number 123
_space_group_name_Hall '-P 4 2'
loop_
_atom_site_label
_atom_site_fract_x
_atom_site_fract_y
_atom_site_fract_z
_atom_site_occupancy
Ru1 0.000 0.000 0.000 1
Rh1 0.500 0.500 0.000 1
S1 0.000 0.000 0.500 1
F1 0.000 0.500 0.500 1

***

15.
# CsVCo2Cl8 PBE-GGA optimized geometry
# - formation energy from raw total energies (meV per atom) = -1004
# - density of states at the Fermi level (states/eV/f.u.) = 10.5
# - crystal system = trigonal
data_CsVCo2Cl8
_chemical_formula_sum 'Cs3 V3 Co6 Cl24'
_cell_length_a 6.2620
_cell_length_b 6.2620
_cell_length_c 30.5198
_cell_angle_alpha 90.00
_cell_angle_beta 90.00
_cell_angle_gamma 120.00
_space_group_name_H-M_alt 'R -3'
_space_group_IT_number 148
_space_group_name_Hall '-R 3'
loop_
_atom_site_label
_atom_site_fract_x
_atom_site_fract_y
_atom_site_fract_z
_atom_site_occupancy
Cs1 0.0000 0.0000 0.0000 1
V1 0.0000 0.0000 0.5000 1
Co1 0.0000 0.0000 0.2339 1
Cl1 0.0000 0.0000 0.3060 1
Cl2 0.0046 0.3137 0.5459 1

***

16.
# Te2OsAu PBE-GGA optimized geometry
# - formation energy from raw total energies (meV per atom) = 496
# - density of states at the Fermi level (states/eV/f.u.) = 4.5
# - E above lowest polymorph (eV per formula unit) = 1.275
# - crystal system = trigonal
data_Te2OsAu
_chemical_formula_sum 'Te6 Os3 Au3'
_cell_length_a 3.3021
_cell_length_b 3.3021
_cell_length_c 29.6719
_cell_angle_alpha 90.00
_cell_angle_beta 90.00
_cell_angle_gamma 120.00
_space_group_name_H-M_alt 'R 3 m'
_space_group_IT_number 160
_space_group_name_Hall 'R 3 -2"'
loop_
_atom_site_label
_atom_site_fract_x
_atom_site_fract_y
_atom_site_fract_z
_atom_site_occupancy
Te1 0.0000 0.0000 0.0000 1
Te2 0.0000 0.0000 0.2090 1
Os1 0.0000 0.0000 0.7270 1
Au1 0.0000 0.0000 0.4646 1

***

17.
# NbIn3Cl PBE-GGA optimized geometry
# - formation energy from raw total energies (meV per atom) = 893
# - density of states at the Fermi level (states/eV/f.u.) = 4.3
# - E above lowest polymorph (eV per formula unit) = 2.285
# - crystal system = cubic
data_NbIn3Cl
_chemical_formula_sum 'Nb1 In3 Cl1'
_cell_length_a 5.164
_cell_length_b 5.164
_cell_length_c 5.164
_cell_angle_alpha 90.00
_cell_angle_beta 90.00
_cell_angle_gamma 90.00
_space_group_name_H-M_alt 'P m -3 m'
_space_group_IT_number 221
_space_group_name_Hall '-P 4 2 3'
loop_
_atom_site_label
_atom_site_fract_x
_atom_site_fract_y
_atom_site_fract_z
_atom_site_occupancy
Nb1 0.000 0.000 0.000 1
In1 0.000 0.500 0.500 1
Cl1 0.500 0.500 0.500 1

***

18.
# InSn2C PBE-GGA optimized geometry
# - density of states at the Fermi level (states/eV/f.u.) = 4.0
# - E_form (eV per formula unit) = 5.4
# - E above lowest polymorph (eV per formula unit) = 2.702
# - crystal system = cubic
data_InSn2C
_chemical_formula_sum 'In4 Sn8 C4'
_cell_length_a 7.062
_cell_length_b 7.062
_cell_length_c 7.062
_cell_angle_alpha 90.00
_cell_angle_beta 90.00
_cell_angle_gamma 90.00
_space_group_name_H-M_alt 'F m -3 m'
_space_group_IT_number 225
_space_group_name_Hall '-F 4 2 3'
loop_
_atom_site_label
_atom_site_fract_x
_atom_site_fract_y
_atom_site_fract_z
_atom_site_occupancy
In1 0.000 0.000 0.000 1
Sn1 0.250 0.250 0.250 1
C1 0.000 0.000 0.500 1

***

19.
# Y2Ho2ZnPd4 PBE-GGA optimized geometry
# - density of states at the Fermi level (states/eV/f.u.) = 7.3
# - E_form (eV per formula unit) = -4.6
# - crystal system = tetragonal
data_Y2Ho2ZnPd4
_chemical_formula_sum 'Y4 Ho4 Zn2 Pd8'
_cell_length_a 6.851
_cell_length_b 6.851
_cell_length_c 8.475
_cell_angle_alpha 90.00
_cell_angle_beta 90.00
_cell_angle_gamma 90.00
_space_group_name_H-M_alt 'I 4/m m m'
_space_group_IT_number 139
_space_group_name_Hall '-I 4 2'
loop_
_atom_site_label
_atom_site_fract_x
_atom_site_fract_y
_atom_site_fract_z
_atom_site_occupancy
Y1 0.000 0.000 0.188 1
Ho1 0.000 0.500 0.250 1
Zn1 0.000 0.000 0.500 1
Pd1 0.244 0.244 0.000 1

***

20.
# LiRuRhC PBE-GGA optimized geometry
# - density of states at the Fermi level (states/eV/f.u.) = 1.6
# - E_form (eV per formula unit) = 2.6
# - crystal system = cubic
data_LiRuRhC
_chemical_formula_sum 'Li4 Ru4 Rh4 C4'
_cell_length_a 5.482
_cell_length_b 5.482
_cell_length_c 5.482
_cell_angle_alpha 90.00
_cell_angle_beta 90.00
_cell_angle_gamma 90.00
_space_group_name_H-M_alt 'F -4 3 m'
_space_group_IT_number 216
_space_group_name_Hall 'F -4 2 3'
loop_
_atom_site_label
_atom_site_fract_x
_atom_site_fract_y
_atom_site_fract_z
_atom_site_occupancy
Li1 0.000 0.000 0.000 1
Ru1 0.250 0.250 0.250 1
Rh1 0.250 0.250 0.750 1
C1 0.000 0.000 0.500 1

***

So what do the calculations give for VASP energy? Going down the list: -6.07 -5.35 -6.47 -5.70 -7.80 -5.40 -8.42 -3.29 -7.32 -4.55 -6.14 -5.96 -4.57 -4.60 -4.25 -4.70 -3.13 -3.64 -5.41 -6.29 eV per atom.
So what do the calculations give for M_tot? Going down the list: 0.000 0.108 5.685 0.000 2.338 1.134 0.526 0.000 0.267 0.000 1.003 3.423 7.959 2.285 7.789 0.000 0.000 0.000 0.000 0.000 μB/f.u..